[1]
DyAl6Cu6 after structural relaxation. Source: Alexandria via LeMat-Bulk, functional PBE.

Its total magnetization is 0.00 Bohr magnetons per cell. The formation energy comes out at -454 kJ/mol of formula units. The space group is Immm.

a b c (Å): 6.6224 6.6224 6.6224
angles (deg): 134.71 99.25 97.80
Last column: nearest neighbours and their distance in Å.
Sites, in units of the cell vectors:
Dy 0.0000 0.0000 0.0000  8 Al 2.97-3.09, 12 Cu 3.23-3.31
Al 0.2008 0.7008 0.5000  6 Cu 2.53-2.64
Al 0.3464 0.0000 0.3464  3 Al 2.64-2.92, 6 Cu 2.65-2.74
Al 0.3486 0.3486 0.0000  3 Al 2.64-2.86, 6 Cu 2.64-2.66
Al 0.6514 0.6514 0.0000  3 Al 2.64-2.86, 6 Cu 2.64-2.66
Al 0.6536 0.0000 0.6536  3 Al 2.64-2.92, 6 Cu 2.65-2.74
Al 0.7992 0.2992 0.5000  6 Cu 2.53-2.64
Cu 0.0000 0.0000 0.5000  4 Cu 2.53-2.55, 6 Al 2.53-2.65
Cu 0.0000 0.5000 0.0000  4 Cu 2.53-2.55, 6 Al 2.53-2.65
Cu 0.2309 0.5000 0.7309  4 Cu 2.53, 6 Al 2.64-2.74
Cu 0.5000 0.0000 0.0000  4 Cu 2.53-2.55, 6 Al 2.53-2.65
Cu 0.5000 0.5000 0.5000  4 Cu 2.53-2.55, 6 Al 2.53-2.65
Cu 0.7691 0.5000 0.2691  4 Cu 2.53, 6 Al 2.64-2.74

[2]
PrMg2GaAu4 after structural relaxation. Source: Alexandria via LeMat-Bulk, functional PBE.

Its total magnetization is 0.00 Bohr magnetons per cell. The formation energy comes out at -436 kJ/mol of formula units. The space group is R-3m.

a b c (Å): 9.3286 9.3286 9.3286
angles (deg): 28.61 28.61 28.61
Last column: nearest neighbours and their distance in Å.
Sites, in units of the cell vectors:
Pr 0.0000 0.0000 0.0000  8 Au 3.15-3.43
Mg 0.2386 0.2386 0.2386  7 Au 2.80-2.97
Mg 0.7614 0.7614 0.7614  7 Au 2.80-2.97
Ga 0.5000 0.5000 0.5000  8 Au 2.79-2.86
Au 0.1281 0.1281 0.1281  4 Mg 2.81-2.97, 3 Ga 2.86
Au 0.3961 0.3961 0.3961  1 Ga 2.79, 3 Mg 2.80
Au 0.6039 0.6039 0.6039  1 Ga 2.79, 3 Mg 2.80
Au 0.8719 0.8719 0.8719  4 Mg 2.81-2.97, 3 Ga 2.86

[3]
Ba2SnO after structural relaxation. Source: Alexandria via LeMat-Bulk, functional PBE.

Its total magnetization is 0.00 Bohr magnetons per cell. The calculation puts the uncorrected formation energy at -1.0503 eV/atom. The space group is R-3m.

a b c (Å): 10.2341 10.2341 10.2341
angles (deg): 21.99 21.99 21.99
Last column: nearest neighbours and their distance in Å.
Sites, in units of the cell vectors:
Ba 0.1152 0.1152 0.1152  3 O 2.73
Ba 0.8848 0.8848 0.8848  3 O 2.73
Sn 0.0000 0.0000 0.0000  2 Ba 3.45
O 0.5000 0.5000 0.5000  6 Ba 2.73